# LiCaSiPt2

A relaxed LiCaSiPt2 crystal (GGA-PBE, Alexandria via LeMat-Bulk).

Properties
Formation energy (no corrections) (meV/atom): -853
Symmetry: I-4m2, No. 119
Magnetic moment (μB/cell): 0.000
V (Å³/cell): 178.1
D(E_F) (states/eV per cell): 5.7
Total energy (eV/atom): -5.137

a = 4.019 Å, b = 4.019 Å, c = 11.026 Å
α = 90.00°, β = 90.00°, γ = 90.00°
Sites, in units of the cell vectors:
Li  0.000  0.000  0.000
Li  0.500  0.500  0.500
Ca  0.000  0.500  0.750
Ca  0.500  0.000  0.250
Si  0.000  0.000  0.500
Si  0.500  0.500  0.000
Pt  0.000  0.500  0.128
Pt  0.000  0.500  0.372
Pt  0.500  0.000  0.628
Pt  0.500  0.000  0.872